# 1
{"formula": "NdSmTl2", "functional": "PBE", "state": "relaxed", "formation_enthalpy_0k_ev_per_atom": -0.269, "crystal_system": "trigonal", "lattice_angstrom": [[3.875, 0.000, 0.000], [1.938, 3.356, 0.000], [1.938, 1.119, 9.742]], "species": ["Sm", "Nd", "Tl", "Tl"], "frac_coords": [[0.000, 0.000, 0.000], [0.500, 0.500, 0.500], [0.749, 0.749, 0.753], [0.251, 0.251, 0.247]]}

=====

# 2
{"formula": "Nd15Sm4Tl", "functional": "PBE", "state": "relaxed", "formation_enthalpy_0k_ev_per_atom": -0.023, "crystal_system": "tetragonal", "lattice_angstrom": [[-3.726, 1.347, -3.258], [-3.346, -2.842, 2.653], [-5.619, 20.542, 14.922]], "species": ["Nd", "Nd", "Nd", "Sm", "Nd", "Nd", "Nd", "Nd", "Nd", "Nd", "Sm", "Sm", "Nd", "Tl", "Sm", "Nd", "Nd", "Nd", "Nd", "Nd"], "frac_coords": [[0.000, 0.500, 0.702], [0.500, 0.500, 0.196], [0.500, 0.500, 0.601], [0.000, 0.000, 0.400], [0.500, 0.000, 0.096], [0.000, 0.500, 0.500], [0.500, 0.500, 0.399], [0.500, 0.500, 0.804], [0.500, 0.500, 0.000], [0.500, 0.000, 0.298], [0.000, 0.000, 0.600], [0.000, 0.000, 0.198], [0.000, 0.500, 0.096], [0.000, 0.000, 0.000], [0.000, 0.000, 0.802], [0.000, 0.500, 0.904], [0.500, 0.000, 0.702], [0.500, 0.000, 0.500], [0.000, 0.500, 0.298], [0.500, 0.000, 0.904]]}

=====

# 3
{"formula": "Nd12SmTl7", "functional": "PBE", "state": "relaxed", "formation_enthalpy_0k_ev_per_atom": -0.040, "crystal_system": "trigonal", "lattice_angstrom": [[9.013, 0.357, 0.536], [-2.163, 8.757, 0.536], [-2.163, -2.878, 8.288]], "species": ["Nd", "Tl", "Nd", "Nd", "Nd", "Tl", "Tl", "Tl", "Tl", "Sm", "Tl", "Nd", "Nd", "Nd", "Nd", "Nd", "Tl", "Nd", "Nd", "Nd"], "frac_coords": [[0.281, 0.684, 0.820], [0.980, 0.644, 0.952], [0.316, 0.180, 0.719], [0.820, 0.281, 0.684], [0.719, 0.316, 0.180], [0.020, 0.356, 0.048], [0.356, 0.048, 0.020], [0.952, 0.980, 0.644], [0.500, 0.500, 0.500], [0.000, 0.000, 0.000], [0.048, 0.020, 0.356], [0.443, 0.125, 0.380], [0.875, 0.620, 0.557], [0.125, 0.380, 0.443], [0.684, 0.820, 0.281], [0.620, 0.557, 0.875], [0.644, 0.952, 0.980], [0.557, 0.875, 0.620], [0.380, 0.443, 0.125], [0.180, 0.719, 0.316]]}

=====

# 4
{"formula": "Nd6SmTl3", "functional": "PBE", "state": "relaxed", "formation_enthalpy_0k_ev_per_atom": -0.202, "crystal_system": "monoclinic", "polymorph_energy_ev_per_fu": 0.00, "lattice_angstrom": [[-0.977, -4.957, 1.572], [2.024, -3.482, -9.720], [10.734, -0.795, 4.167]], "species": ["Nd", "Nd", "Nd", "Tl", "Sm", "Tl", "Nd", "Nd", "Tl", "Tl", "Nd", "Tl", "Tl", "Nd", "Nd", "Nd", "Nd", "Nd", "Nd", "Sm"], "frac_coords": [[0.250, 0.273, 0.518], [0.250, 0.636, 0.692], [0.250, 0.455, 0.096], [0.250, 0.755, 0.975], [0.250, 0.952, 0.592], [0.250, 0.546, 0.392], [0.750, 0.176, 0.719], [0.250, 0.064, 0.909], [0.750, 0.454, 0.608], [0.750, 0.646, 0.188], [0.750, 0.858, 0.775], [0.250, 0.354, 0.812], [0.750, 0.245, 0.025], [0.750, 0.364, 0.308], [0.750, 0.727, 0.482], [0.750, 0.936, 0.091], [0.250, 0.142, 0.225], [0.750, 0.545, 0.904], [0.250, 0.824, 0.281], [0.750, 0.048, 0.408]]}

=====

# 5
{"formula": "Nd2SmTl4", "functional": "PBE", "state": "relaxed", "formation_enthalpy_0k_ev_per_atom": -0.235, "crystal_system": "tetragonal", "lattice_angstrom": [[6.263, -0.083, -2.254], [-3.146, 5.460, -2.147], [-0.048, 0.083, 6.656]], "species": ["Tl", "Sm", "Tl", "Tl", "Nd", "Nd", "Tl"], "frac_coords": [[0.500, 0.000, 0.000], [0.000, 0.000, 0.000], [0.000, 0.000, 0.500], [0.000, 0.500, 0.000], [0.500, 0.500, 0.000], [0.500, 0.000, 0.500], [0.500, 0.500, 0.500]]}

=====

# 6
{"formula": "NdSmTl3", "functional": "PBE", "state": "relaxed", "formation_enthalpy_0k_ev_per_atom": -0.055, "crystal_system": "hexagonal", "lattice_angstrom": [[-5.068, -3.872, -1.273], [-1.270, -0.782, 7.437], [-3.332, 5.625, -3.845]], "species": ["Nd", "Tl", "Sm", "Tl", "Tl", "Sm", "Tl", "Tl", "Nd", "Tl"], "frac_coords": [[0.500, 0.000, 0.000], [0.750, 0.202, 0.405], [0.250, 0.334, 0.666], [0.250, 0.798, 0.202], [0.250, 0.798, 0.595], [0.750, 0.666, 0.334], [0.750, 0.595, 0.798], [0.750, 0.202, 0.798], [0.000, 0.000, 0.000], [0.250, 0.405, 0.202]]}